(1)
VASP calculation (GGA-PBEsol) on Rb2AlB after structural relaxation.

The magnetic moment is 0.0 μB per formula unit. The calculated formation energy is 0.538 eV/atom. Its density is 2.07 Mg/m³. As for the total energy: -2.75 eV/atom. Its space group is No. 122. The crystal system is tetragonal.

```
data_Rb2AlB
_chemical_formula_sum 'Rb4 Al2 B2'
_cell_length_a 9.335
_cell_length_b 9.335
_cell_length_c 9.335
_cell_angle_alpha 92.68
_cell_angle_beta 92.68
_cell_angle_gamma 155.04
_space_group_name_H-M_alt 'P 1'
_space_group_IT_number 1
loop_
_space_group_symop_operation_xyz
'x,y,z'
loop_
_atom_site_label
_atom_site_type_symbol
_atom_site_fract_x
_atom_site_fract_y
_atom_site_fract_z
Rb1 Rb 0.375 0.167 0.292
Rb2 Rb 0.833 0.125 0.208
Rb3 Rb 0.875 0.083 0.708
Rb4 Rb 0.917 0.625 0.792
Al1 Al 0.250 0.750 0.500
Al2 Al 0.500 0.500 0.000
B1 B 0.000 0.000 0.000
B2 B 0.750 0.250 0.500
```

(2)
VASP calculation (GGA-PBEsol) on RbAl3B after structural relaxation.

The magnetic moment is 0.0 μB per formula unit. The calculated formation energy is 2.672 eV/atom. Its density is 1.55 Mg/m³. As for the total energy: -1.39 eV/atom. Its space group is No. 221. The crystal system is cubic.

```
data_RbAl3B
_chemical_formula_sum 'Rb1 Al3 B1'
_cell_length_a 5.751
_cell_length_b 5.751
_cell_length_c 5.751
_cell_angle_alpha 90.00
_cell_angle_beta 90.00
_cell_angle_gamma 90.00
_space_group_name_H-M_alt 'P 1'
_space_group_IT_number 1
loop_
_space_group_symop_operation_xyz
'x,y,z'
loop_
_atom_site_label
_atom_site_type_symbol
_atom_site_fract_x
_atom_site_fract_y
_atom_site_fract_z
Rb1 Rb 0.000 0.000 0.000
Al1 Al 0.000 0.000 0.500
Al2 Al 0.000 0.500 0.000
Al3 Al 0.500 0.000 0.000
B1 B 0.500 0.500 0.500
```

(3)
VASP calculation (GGA-PBEsol) on Al3B2Ru4 after structural relaxation.

The magnetic moment is 0.0 μB per formula unit. The calculated formation energy is -0.600 eV/atom. Its density is 8.06 Mg/m³. As for the total energy: -8.04 eV/atom. Its space group is No. 123. The crystal system is tetragonal.

```
data_Al3B2Ru4
_chemical_formula_sum 'Al6 B4 Ru8'
_cell_length_a 8.473
_cell_length_b 8.473
_cell_length_c 2.910
_cell_angle_alpha 90.00
_cell_angle_beta 90.00
_cell_angle_gamma 90.00
_space_group_name_H-M_alt 'P 1'
_space_group_IT_number 1
loop_
_space_group_symop_operation_xyz
'x,y,z'
loop_
_atom_site_label
_atom_site_type_symbol
_atom_site_fract_x
_atom_site_fract_y
_atom_site_fract_z
Al1 Al 0.000 0.000 0.000
Al2 Al 0.000 0.347 0.000
Al3 Al 0.000 0.653 0.000
Al4 Al 0.347 0.000 0.000
Al5 Al 0.500 0.500 0.000
Al6 Al 0.653 0.000 0.000
B1 B 0.307 0.307 0.000
B2 B 0.307 0.693 0.000
B3 B 0.693 0.307 0.000
B4 B 0.693 0.693 0.000
Ru1 Ru 0.176 0.176 0.500
Ru2 Ru 0.176 0.824 0.500
Ru3 Ru 0.244 0.500 0.500
Ru4 Ru 0.500 0.244 0.500
Ru5 Ru 0.500 0.756 0.500
Ru6 Ru 0.756 0.500 0.500
Ru7 Ru 0.824 0.176 0.500
Ru8 Ru 0.824 0.824 0.500
```

(4)
VASP calculation (GGA-PBEsol) on AlB2Ru2 after structural relaxation.

The magnetic moment is 0.0 μB per formula unit. The calculated formation energy is -0.408 eV/atom. Its density is 7.87 Mg/m³. As for the total energy: -8.10 eV/atom. Its space group is No. 139. The crystal system is tetragonal.

```
data_AlB2Ru2
_chemical_formula_sum 'Al1 B2 Ru2'
_cell_length_a 6.710
_cell_length_b 6.710
_cell_length_c 6.710
_cell_angle_alpha 155.25
_cell_angle_beta 155.25
_cell_angle_gamma 35.29
_space_group_name_H-M_alt 'P 1'
_space_group_IT_number 1
loop_
_space_group_symop_operation_xyz
'x,y,z'
loop_
_atom_site_label
_atom_site_type_symbol
_atom_site_fract_x
_atom_site_fract_y
_atom_site_fract_z
Al1 Al 0.000 0.000 0.000
B1 B 0.250 0.750 0.500
B2 B 0.750 0.250 0.500
Ru1 Ru 0.377 0.377 0.000
Ru2 Ru 0.623 0.623 0.000
```

(5)
VASP calculation (GGA-PBEsol) on AlBSb2 after structural relaxation.

The magnetic moment is 0.0 μB per formula unit. The uncorrected formation energy is 0.9049 eV per atom. Its density is 6.11 Mg/m³. As for the total energy: -4.15 eV/atom. Its space group is No. 225. The crystal system is cubic.

```
data_AlBSb2
_chemical_formula_sum 'Al1 B1 Sb2'
_cell_length_a 4.765
_cell_length_b 4.765
_cell_length_c 4.765
_cell_angle_alpha 60.00
_cell_angle_beta 60.00
_cell_angle_gamma 60.00
_space_group_name_H-M_alt 'P 1'
_space_group_IT_number 1
loop_
_space_group_symop_operation_xyz
'x,y,z'
loop_
_atom_site_label
_atom_site_type_symbol
_atom_site_fract_x
_atom_site_fract_y
_atom_site_fract_z
Al1 Al 0.000 0.000 0.000
B1 B 0.500 0.500 0.500
Sb1 Sb 0.250 0.250 0.250
Sb2 Sb 0.750 0.750 0.750
```

(6)
VASP calculation (GGA-PBEsol) on ScAlB3 after structural relaxation.

The magnetic moment is 0.0 μB per formula unit. The calculated formation energy is 1.079 eV/atom. Its density is 2.69 Mg/m³. As for the total energy: -5.27 eV/atom. Its space group is No. 221. The crystal system is cubic.

```
data_ScAlB3
_chemical_formula_sum 'Sc1 Al1 B3'
_cell_length_a 4.011
_cell_length_b 4.011
_cell_length_c 4.011
_cell_angle_alpha 90.00
_cell_angle_beta 90.00
_cell_angle_gamma 90.00
_space_group_name_H-M_alt 'P 1'
_space_group_IT_number 1
loop_
_space_group_symop_operation_xyz
'x,y,z'
loop_
_atom_site_label
_atom_site_type_symbol
_atom_site_fract_x
_atom_site_fract_y
_atom_site_fract_z
Sc1 Sc 0.000 0.000 0.000
Al1 Al 0.500 0.500 0.500
B1 B 0.000 0.500 0.500
B2 B 0.500 0.000 0.500
B3 B 0.500 0.500 0.000
```

(7)
VASP calculation (GGA-PBEsol) on AlBSe3 after structural relaxation.

The magnetic moment is 0.0 μB per formula unit. The uncorrected formation energy is 0.4540 eV per atom. Its density is 5.24 Mg/m³. As for the total energy: -4.08 eV/atom. Its space group is No. 221. The crystal system is cubic.

```
data_AlBSe3
_chemical_formula_sum 'Al1 B1 Se3'
_cell_length_a 4.432
_cell_length_b 4.432
_cell_length_c 4.432
_cell_angle_alpha 90.00
_cell_angle_beta 90.00
_cell_angle_gamma 90.00
_space_group_name_H-M_alt 'P 1'
_space_group_IT_number 1
loop_
_space_group_symop_operation_xyz
'x,y,z'
loop_
_atom_site_label
_atom_site_type_symbol
_atom_site_fract_x
_atom_site_fract_y
_atom_site_fract_z
Al1 Al 0.000 0.000 0.000
B1 B 0.500 0.500 0.500
Se1 Se 0.000 0.500 0.500
Se2 Se 0.500 0.000 0.500
Se3 Se 0.500 0.500 0.000
```

(8)
VASP calculation (GGA-PBEsol) on AlB2TeSe after structural relaxation.

The magnetic moment is 0.0 μB per formula unit. The uncorrected formation energy is 1.1737 eV per atom. Its density is 4.62 Mg/m³. As for the total energy: -3.93 eV/atom. Its space group is No. 123. The crystal system is tetragonal.

```
data_AlB2TeSe
_chemical_formula_sum 'Al1 B2 Te1 Se1'
_cell_length_a 4.268
_cell_length_b 4.268
_cell_length_c 5.039
_cell_angle_alpha 90.00
_cell_angle_beta 90.00
_cell_angle_gamma 90.00
_space_group_name_H-M_alt 'P 1'
_space_group_IT_number 1
loop_
_space_group_symop_operation_xyz
'x,y,z'
loop_
_atom_site_label
_atom_site_type_symbol
_atom_site_fract_x
_atom_site_fract_y
_atom_site_fract_z
Al1 Al 0.000 0.000 0.000
B1 B 0.000 0.500 0.000
B2 B 0.500 0.000 0.000
Te1 Te 0.500 0.500 0.500
Se1 Se 0.000 0.000 0.500
```

(9)
VASP calculation (GGA-PBEsol) on AlTcSnB2 after structural relaxation.

The magnetic moment is 0.0 μB per formula unit. The calculated formation energy is 0.915 eV/atom. Its density is 5.04 Mg/m³. As for the total energy: -5.82 eV/atom. Its space group is No. 123. The crystal system is tetragonal.

```
data_AlTcSnB2
_chemical_formula_sum 'Al1 Tc1 Sn1 B2'
_cell_length_a 4.081
_cell_length_b 4.081
_cell_length_c 5.248
_cell_angle_alpha 90.00
_cell_angle_beta 90.00
_cell_angle_gamma 90.00
_space_group_name_H-M_alt 'P 1'
_space_group_IT_number 1
loop_
_space_group_symop_operation_xyz
'x,y,z'
loop_
_atom_site_label
_atom_site_type_symbol
_atom_site_fract_x
_atom_site_fract_y
_atom_site_fract_z
Al1 Al 0.000 0.000 0.000
Tc1 Tc 0.500 0.500 0.500
Sn1 Sn 0.500 0.500 0.000
B1 B 0.000 0.500 0.500
B2 B 0.500 0.000 0.500
```

(10)
VASP calculation (GGA-PBEsol) on TaAlB2 after structural relaxation.

The magnetic moment is 0.0 μB per formula unit. The calculated formation energy is 0.396 eV/atom. Its density is 7.99 Mg/m³. As for the total energy: -7.27 eV/atom. Its space group is No. 122. The crystal system is tetragonal.

```
data_TaAlB2
_chemical_formula_sum 'Ta2 Al2 B4'
_cell_length_a 4.986
_cell_length_b 4.986
_cell_length_c 4.986
_cell_angle_alpha 108.72
_cell_angle_beta 108.72
_cell_angle_gamma 110.98
_space_group_name_H-M_alt 'P 1'
_space_group_IT_number 1
loop_
_space_group_symop_operation_xyz
'x,y,z'
loop_
_atom_site_label
_atom_site_type_symbol
_atom_site_fract_x
_atom_site_fract_y
_atom_site_fract_z
Ta1 Ta 0.000 0.000 0.000
Ta2 Ta 0.750 0.250 0.500
Al1 Al 0.250 0.750 0.500
Al2 Al 0.500 0.500 0.000
B1 B 0.143 0.125 0.518
B2 B 0.375 0.857 0.982
B3 B 0.607 0.625 0.482
B4 B 0.875 0.393 0.018
```

(11)
VASP calculation (GGA-PBEsol) on Ta3AlB8 after structural relaxation.

The magnetic moment is 0.0 μB per formula unit. The calculated formation energy is -0.562 eV/atom. Its density is 10.15 Mg/m³. As for the total energy: -8.72 eV/atom. Its space group is No. 191. The crystal system is hexagonal.

```
data_Ta3AlB8
_chemical_formula_sum 'Ta3 Al1 B8'
_cell_length_a 3.043
_cell_length_b 3.043
_cell_length_c 13.380
_cell_angle_alpha 90.00
_cell_angle_beta 90.00
_cell_angle_gamma 120.00
_space_group_name_H-M_alt 'P 1'
_space_group_IT_number 1
loop_
_space_group_symop_operation_xyz
'x,y,z'
loop_
_atom_site_label
_atom_site_type_symbol
_atom_site_fract_x
_atom_site_fract_y
_atom_site_fract_z
Ta1 Ta 0.000 0.000 0.000
Ta2 Ta 0.000 0.000 0.246
Ta3 Ta 0.000 0.000 0.754
Al1 Al 0.000 0.000 0.500
B1 B 0.333 0.667 0.125
B2 B 0.333 0.667 0.379
B3 B 0.333 0.667 0.621
B4 B 0.333 0.667 0.875
B5 B 0.667 0.333 0.125
B6 B 0.667 0.333 0.379
B7 B 0.667 0.333 0.621
B8 B 0.667 0.333 0.875
```

(12)
VASP calculation (GGA-PBEsol) on Al2TcB2 after structural relaxation.

The magnetic moment is 0.0 μB per formula unit. The calculated formation energy is -0.251 eV/atom. Its density is 5.51 Mg/m³. As for the total energy: -6.95 eV/atom. Its space group is No. 127. The crystal system is tetragonal.

```
data_Al2TcB2
_chemical_formula_sum 'Al4 Tc2 B4'
_cell_length_a 5.773
_cell_length_b 5.773
_cell_length_c 3.140
_cell_angle_alpha 90.00
_cell_angle_beta 90.00
_cell_angle_gamma 90.00
_space_group_name_H-M_alt 'P 1'
_space_group_IT_number 1
loop_
_space_group_symop_operation_xyz
'x,y,z'
loop_
_atom_site_label
_atom_site_type_symbol
_atom_site_fract_x
_atom_site_fract_y
_atom_site_fract_z
Al1 Al 0.183 0.317 0.000
Al2 Al 0.317 0.817 0.000
Al3 Al 0.683 0.183 0.000
Al4 Al 0.817 0.683 0.000
Tc1 Tc 0.000 0.000 0.500
Tc2 Tc 0.500 0.500 0.500
B1 B 0.105 0.605 0.500
B2 B 0.395 0.105 0.500
B3 B 0.605 0.895 0.500
B4 B 0.895 0.395 0.500
```